Record 1
Here is an optimized crystal structure of GaSiTeAs from Alexandria via LeMat-Bulk. Energies are from GGA-PBE.

## Properties
total energy	-16.81	eV per cell
uncorrected formation energy	-13.7	kJ per mole of atoms

Cell lengths 3.9040, 3.9040, 8.8195 Å; angles 90.00, 90.00, 120.00 degrees
Space group P3m1 (No. 156)
Unique sites:
Ga 0.0000 0.0000 0.0000 x1
Si 0.0000 0.0000 0.2721 x1
Te 0.6667 0.3333 0.8453 x1
As 0.3333 0.6667 0.3906 x1

Record 2
Here is an optimized crystal structure of Th4GaSiAs2 from Alexandria via LeMat-Bulk. Energies are from GGA-PBE.

## Properties
total energy	-54.90	eV per cell
uncorrected formation energy	-90.1	kJ per mole of atoms

Cell lengths 7.405, 4.284, 7.415 Å; angles 90.00, 109.50, 90.00 degrees
Space group P2/m (No. 10)
Unique sites:
Th 0.246 0.000 0.246 x2
Th 0.248 0.500 0.751 x2
Ga 0.000 0.000 0.500 x1
Si 0.000 0.500 0.000 x1
As 0.500 0.000 0.000 x1
As 0.500 0.500 0.500 x1

> total energy of number 2 (Th4GaSiAs2)?

-54.90 eV per cell

What did the second record say?
Here is an optimized crystal structure of Th4GaSiAs2 from Alexandria via LeMat-Bulk. Energies are from GGA-PBE.

## Properties
total energy	-54.90	eV per cell
uncorrected formation energy	-90.1	kJ per mole of atoms

Cell lengths 7.405, 4.284, 7.415 Å; angles 90.00, 109.50, 90.00 degrees
Space group P2/m (No. 10)
Unique sites:
Th 0.246 0.000 0.246 x2
Th 0.248 0.500 0.751 x2
Ga 0.000 0.000 0.500 x1
Si 0.000 0.500 0.000 x1
As 0.500 0.000 0.000 x1
As 0.500 0.500 0.500 x1

> What is the uncorrected formation energy in the first record?

-13.7 kJ per mole of atoms